A plane-wave DFT calculation with PBE was carried out for crystalline TaTcSb2 at its relaxed geometry.

Properties
volume	78.5	Å³/cell
calculated total energy	-7.0989	eV per atom
total magnetization	0.1692	μB/atom
theoretical density	11.06	g/cm³

Cell: 4.8052 4.8052 4.8052 Å, 60.00 60.00 60.00°
Fractional coordinates of all 4 atoms:
Tc (0.2500, 0.2500, 0.2500)
Sb (0.7500, 0.7500, 0.7500)
Sb (0.5000, 0.5000, 0.5000)
Ta (0.0000, 0.0000, 0.0000)